6
Lattice="4.316 0.000 0.000 0.000 4.489 0.000 0.000 0.000 7.792" Properties=species:S:1:pos:R:3 comment="Pr2Al3Sn GGA-PBE relaxed" volume_a3_per_atom=25.16 magnetic_moment_mub_per_fu=0.0 sg="Pmm2, No. 25" formation_energy_kj_per_mol_fu=-308 pbc="T T T"
Pr 0.000 0.000 0.000
Pr 0.000 2.244 3.831
Al 2.158 0.000 2.532
Al 2.158 0.000 5.062
Al 2.158 2.244 1.350
Sn 2.158 2.244 6.483